<a>
An optimized crystal structure of ZnNi3Bi, computed with PBE-GGA.

The space group is Pm-3m (No. 221) and the conventional cell measures 4.4075, 4.4075 and 4.4075 Å, with angles of 90.00, 90.00 and 90.00 degrees. The distinct sites, in fractional coordinates, are Zn at (0.0000, 0.0000, 0.0000), Ni at (0.0000, 0.0000, 0.5000) and Bi at (0.5000, 0.5000, 0.5000).

<b>
An optimized crystal structure of ZnNi3Bi, computed with PBE-GGA.

The space group is Pm-3m (No. 221) and the conventional cell measures 4.7664, 4.7664 and 4.7664 Å, with angles of 90.00, 90.00 and 90.00 degrees. The distinct sites, in fractional coordinates, are Zn at (0.0000, 0.0000, 0.0000), Ni at (0.0000, 0.5000, 0.5000) and Bi at (0.5000, 0.5000, 0.5000).

Which structure is most stable? <a>, by 53.9 kJ/mol of atoms over the runner-up.

<a>
An optimized crystal structure of Zr3NiBi, computed with PBE-GGA.

The space group is Pm-3m (No. 221) and the conventional cell measures 4.9066, 4.9066 and 4.9066 Å, with angles of 90.00, 90.00 and 90.00 degrees. The distinct sites, in fractional coordinates, are Zr at (0.0000, 0.0000, 0.5000), Ni at (0.0000, 0.0000, 0.0000) and Bi at (0.5000, 0.5000, 0.5000).

<b>
An optimized crystal structure of Zr3NiBi, computed with PBE-GGA.

The space group is Pm-3m (No. 221) and the conventional cell measures 5.3589, 5.3589 and 5.3589 Å, with angles of 90.00, 90.00 and 90.00 degrees. The distinct sites, in fractional coordinates, are Zr at (0.0000, 0.0000, 0.5000), Ni at (0.5000, 0.5000, 0.5000) and Bi at (0.0000, 0.0000, 0.0000).

<c>
An optimized crystal structure of Zr3NiBi, computed with PBE-GGA.

The space group is P2_1/m (No. 11) and the conventional cell measures 7.6217, 4.0299 and 7.8633 Å, with angles of 90.00, 116.40 and 90.00 degrees. The distinct sites, in fractional coordinates, are Zr at (0.0352, 0.2500, 0.2162), Zr at (0.3225, 0.2500, 0.9126), Zr at (0.3226, 0.7500, 0.5875), Ni at (0.0756, 0.2500, 0.5792) and Bi at (0.3284, 0.7500, 0.1994).

Which structure is most stable? <c>, by 29.9 kJ/mol of atoms over the runner-up.

<a>
An optimized crystal structure of NpBiO, computed with PBE-GGA.

The space group is C2/m (No. 12) and the conventional cell measures 4.6824, 4.6817 and 12.1099 Å, with angles of 90.00, 92.29 and 90.00 degrees. The distinct sites, in fractional coordinates, are Np at (0.2371, 0.0000, 0.3776), Bi at (0.2016, 0.5000, 0.1483) and O at (0.2428, 0.5000, 0.4290).

<b>
An optimized crystal structure of NpBiO, computed with PBE-GGA.

The space group is P-3m1 (No. 164) and the conventional cell measures 3.7639, 3.7639 and 11.3314 Å, with angles of 90.00, 90.00 and 120.00 degrees. The distinct sites, in fractional coordinates, are Np at (0.3333, 0.6667, 0.3662), Bi at (0.3333, 0.6667, 0.8787) and O at (0.3333, 0.6667, 0.5761).

<c>
An optimized crystal structure of NpBiO, computed with PBE-GGA.

The space group is P-6m2 (No. 187) and the conventional cell measures 3.7772, 3.7772 and 5.5634 Å, with angles of 90.00, 90.00 and 120.00 degrees. The distinct sites, in fractional coordinates, are Np at (0.0000, 0.0000, 0.0000), Bi at (0.6667, 0.3333, 0.5000) and O at (0.3333, 0.6667, 0.0000).

Which structure is most stable? <c>, by 1.3 kJ/mol of atoms over the runner-up.

<a>
An optimized crystal structure of NpPaBi, computed with PBE-GGA.

The space group is Cmcm (No. 63) and the conventional cell measures 3.2001, 17.1701 and 5.9624 Å, with angles of 90.00, 90.00 and 90.00 degrees. The distinct sites, in fractional coordinates, are Np at (0.0000, 0.1590, 0.2500), Pa at (0.0000, 0.0000, 0.0000) and Bi at (0.0000, 0.3491, 0.2500).

<b>
An optimized crystal structure of NpPaBi, computed with PBE-GGA.

The space group is I4mm (No. 107) and the conventional cell measures 3.8825, 3.8825 and 10.3581 Å, with angles of 90.00, 90.00 and 90.00 degrees. The distinct sites, in fractional coordinates, are Np at (0.0000, 0.0000, 0.0000), Pa at (0.0000, 0.0000, 0.6210) and Bi at (0.0000, 0.0000, 0.3119).

Which structure is most stable? <b>, by 17.5 kJ/mol of atoms over the runner-up.